(1)
Entry from Alexandria via LeMat-Bulk: a geometry-optimized Sb2PIrPt structure (PBE-GGA).

Geometry as extended XYZ:
```
5
Lattice="-1.500 -4.428 -2.570 3.615 0.112 -2.302 2.445 -2.973 3.694" Properties=species:S:1:pos:R:3 pbc="T T T"
Sb 1.222 -1.486 1.847
Sb -0.750 -2.214 -1.285
Ir 2.280 -3.644 -0.589
Pt 0.000 0.000 0.000
P 1.808 0.056 -1.151
```

(2)
Entry from Alexandria via LeMat-Bulk: a geometry-optimized GaFeNiSb2 structure (PBE-GGA).

Geometry as extended XYZ:
```
5
Lattice="4.854 0.000 0.000 0.000 4.587 0.000 0.000 0.000 4.854" Properties=species:S:1:pos:R:3 pbc="T T T"
Sb 0.000 0.000 2.427
Sb 2.427 0.000 0.000
Fe 0.000 2.293 0.000
Ga 2.427 2.293 2.427
Ni 0.000 0.000 0.000
```

no.,uncorrected energy (eV for the cell shown)
1,-23.89
2,-22.87